Entry 1:
This record from Alexandria via LeMat-Bulk describes an optimized crystal structure of FeBi2F. The functional is PBEsol.

The space group is I-42d (No. 122) and the conventional cell measures 5.4050, 5.4050 and 13.0941 Å, with angles of 90.00, 90.00 and 90.00 degrees. The asymmetric unit holds Fe at (0.0000, 0.0000, 0.0000), Bi at (0.2342, 0.2500, 0.1250) and F at (0.0000, 0.0000, 0.5000).

The formation energy (no corrections) is -101 meV/atom. For the size of the total moment, the calculation gives 0.290 μB/atom. The theoretical density is 8557 kg/m³. The calculation puts the density of states at the Fermi level at 2.6 states/eV/f.u. The total DFT energy (no corrections) comes out at -79.46 eV/cell.

***

Entry 2:
This record from Alexandria via LeMat-Bulk describes an optimized crystal structure of Ba2CuAs. The functional is PBEsol.

The space group is Pmmm (No. 47) and the conventional cell measures 3.8577, 4.0525 and 7.7662 Å, with angles of 90.00, 90.00 and 90.00 degrees. The asymmetric unit holds Ba at (0.0000, 0.0000, 0.2330), Cu at (0.5000, 0.5000, 0.5000) and As at (0.5000, 0.5000, 0.0000).

For the size of the total moment, the calculation gives 0.000 μB/atom. The theoretical density is 5650 kg/m³. The calculation puts the density of states at the Fermi level at 1.8 states/eV/f.u. The total DFT energy (no corrections) comes out at -15.44 eV/cell. For the energy of formation, the calculation gives -1.70 eV/f.u.

***

Entry 3:
This record from Alexandria via LeMat-Bulk describes an optimized crystal structure of KRuSe2Br. The functional is PBEsol.

The space group is P4/mmm (No. 123) and the conventional cell measures 4.7549, 4.7549 and 5.5544 Å, with angles of 90.00, 90.00 and 90.00 degrees. The asymmetric unit holds K at (0.0000, 0.0000, 0.0000), Ru at (0.5000, 0.5000, 0.5000), Se at (0.0000, 0.5000, 0.5000) and Br at (0.5000, 0.5000, 0.0000).

The formation energy (no corrections) is -340 meV/atom. For the size of the total moment, the calculation gives 0.000 μB/atom. The theoretical density is 4998 kg/m³. The calculation puts the density of states at the Fermi level at 4.5 states/eV/f.u. The total DFT energy (no corrections) comes out at -22.58 eV/cell.

***

Entry 4:
This record from Alexandria via LeMat-Bulk describes an optimized crystal structure of BaMg2TaN. The functional is PBEsol.

The space group is P4/mmm (No. 123) and the conventional cell measures 5.3855, 5.3855 and 3.9916 Å, with angles of 90.00, 90.00 and 90.00 degrees. The asymmetric unit holds Ba at (0.0000, 0.0000, 0.0000), Mg at (0.0000, 0.5000, 0.5000), Ta at (0.5000, 0.5000, 0.0000) and N at (0.5000, 0.5000, 0.5000).

The formation energy (no corrections) is 306 meV/atom. For the size of the total moment, the calculation gives 0.001 μB/atom. The theoretical density is 5463 kg/m³. The calculation puts the density of states at the Fermi level at 5.6 states/eV/f.u. The total DFT energy (no corrections) comes out at -25.13 eV/cell.

***

Entry 5:
This record from Alexandria via LeMat-Bulk describes an optimized crystal structure of TlAsCl. The functional is PBEsol.

The space group is P3m1 (No. 156) and the conventional cell measures 3.2981, 3.2981 and 7.1417 Å, with angles of 90.00, 90.00 and 120.00 degrees. The asymmetric unit holds Tl at (0.0000, 0.0000, 0.0000), As at (0.3333, 0.6667, 0.6392) and Cl at (0.6667, 0.3333, 0.3530).

The formation energy (no corrections) is 93 meV/atom. For the size of the total moment, the calculation gives 0.000 μB/atom. The theoretical density is 7769 kg/m³. The calculation puts the density of states at the Fermi level at 1.5 states/eV/f.u. The total DFT energy (no corrections) comes out at -9.47 eV/cell. As for the energy above the most stable polymorph in this dataset: 159.5 meV/atom.

***

Entry 6:
This record from Alexandria via LeMat-Bulk describes an optimized crystal structure of Zr4TlAg. The functional is PBEsol.

The space group is F-43m (No. 216) and the conventional cell measures 7.9870, 7.9870 and 7.9870 Å, with angles of 90.00, 90.00 and 90.00 degrees. The asymmetric unit holds Zr at (0.1251, 0.1251, 0.1251), Tl at (0.0000, 0.0000, 0.5000) and Ag at (0.2500, 0.2500, 0.7500).

For the size of the total moment, the calculation gives 0.000 μB/atom. The theoretical density is 8827 kg/m³. The calculation puts the density of states at the Fermi level at 4.8 states/eV/f.u. The total DFT energy (no corrections) comes out at -162.47 eV/cell. For the energy of formation, the calculation gives 1.68 eV/f.u.

***

Entry 7:
This record from Alexandria via LeMat-Bulk describes an optimized crystal structure of TlTe2. The functional is PBEsol.

The space group is Cmcm (No. 63) and the conventional cell measures 11.1053, 8.4336 and 4.5641 Å, with angles of 90.00, 90.00 and 90.00 degrees. The asymmetric unit holds Tl at (0.0000, 0.1652, 0.2500) and Te at (0.2460, 0.1235, 0.7500).

The formation energy (no corrections) is -88 meV/atom. For the size of the total moment, the calculation gives 0.000 μB/atom. The theoretical density is 7141 kg/m³. The calculation puts the density of states at the Fermi level at 1.1 states/eV/f.u. The total DFT energy (no corrections) comes out at -39.78 eV/cell. As for the energy above the most stable polymorph in this dataset: 0.0 meV/atom.

***

Entry 8:
This record from Alexandria via LeMat-Bulk describes an optimized crystal structure of Ta2NiHRh. The functional is PBEsol.

The space group is P4/mmm (No. 123) and the conventional cell measures 4.8117, 4.8117 and 2.9061 Å, with angles of 90.00, 90.00 and 90.00 degrees. The asymmetric unit holds Ta at (0.0000, 0.5000, 0.0000), Ni at (0.0000, 0.0000, 0.0000), H at (0.0000, 0.0000, 0.5000) and Rh at (0.5000, 0.5000, 0.5000).

For the size of the total moment, the calculation gives 0.000 μB/atom. The theoretical density is 12945 kg/m³. The calculation puts the density of states at the Fermi level at 4.0 states/eV/f.u. The total DFT energy (no corrections) comes out at -40.85 eV/cell.

***

Entry 9:
This record from Alexandria via LeMat-Bulk describes an optimized crystal structure of SiTcSeCl2. The functional is PBEsol.

The space group is P4/mmm (No. 123) and the conventional cell measures 5.0092, 5.0092 and 4.6770 Å, with angles of 90.00, 90.00 and 90.00 degrees. The asymmetric unit holds Si at (0.0000, 0.0000, 0.0000), Tc at (0.5000, 0.5000, 0.0000), Se at (0.5000, 0.5000, 0.5000) and Cl at (0.0000, 0.5000, 0.5000).

The formation energy (no corrections) is 1112 meV/atom. For the size of the total moment, the calculation gives 0.317 μB/atom. The theoretical density is 3905 kg/m³. The calculation puts the density of states at the Fermi level at 3.3 states/eV/f.u. The total DFT energy (no corrections) comes out at -19.32 eV/cell.

***

Entry 10:
This record from Alexandria via LeMat-Bulk describes an optimized crystal structure of Fe2PtSe. The functional is PBEsol.

The space group is Immm (No. 71) and the conventional cell measures 3.1753, 4.2673 and 8.0808 Å, with angles of 90.00, 90.00 and 90.00 degrees. The asymmetric unit holds Fe at (0.0000, 0.0000, 0.2320), Pt at (0.0000, 0.5000, 0.0000) and Se at (0.0000, 0.5000, 0.5000).

The formation energy (no corrections) is 179 meV/atom. For the size of the total moment, the calculation gives 1.358 μB/atom. The theoretical density is 11700 kg/m³. The calculation puts the density of states at the Fermi level at 3.2 states/eV/f.u. The total DFT energy (no corrections) comes out at -56.05 eV/cell.

***

Entry 11:
This record from Alexandria via LeMat-Bulk describes an optimized crystal structure of Cd2AgPb. The functional is PBEsol.

The space group is Cm (No. 8) and the conventional cell measures 9.5102, 3.3973 and 5.6074 Å, with angles of 90.00, 101.87 and 90.00 degrees. The asymmetric unit holds Cd at (0.0000, 0.0000, 0.0000), Cd at (0.2487, 0.5000, 0.2226), Ag at (0.4885, 0.0000, 0.4312) and Pb at (0.2384, 0.0000, 0.7011).

For the size of the total moment, the calculation gives 0.000 μB/atom. The theoretical density is 10113 kg/m³. The calculation puts the density of states at the Fermi level at 1.4 states/eV/f.u. The total DFT energy (no corrections) comes out at -18.86 eV/cell. For the energy of formation, the calculation gives 0.27 eV/f.u.

***

Entry 12:
This record from Alexandria via LeMat-Bulk describes an optimized crystal structure of Ta2Te2S. The functional is PBEsol.

The space group is I4/mmm (No. 139) and the conventional cell measures 3.7902, 3.7902 and 16.0664 Å, with angles of 90.00, 90.00 and 90.00 degrees. The asymmetric unit holds Ta at (0.0000, 0.5000, 0.2500), Te at (0.0000, 0.0000, 0.1162) and S at (0.0000, 0.0000, 0.5000).

The formation energy (no corrections) is 324 meV/atom. For the size of the total moment, the calculation gives 0.000 μB/atom. The theoretical density is 9341 kg/m³. The calculation puts the density of states at the Fermi level at 6.4 states/eV/f.u. The total DFT energy (no corrections) comes out at -69.84 eV/cell.